# 1
# PBE-GGA Pr5Bi2Au, optimized geometry
# Crystal system: orthorhombic
# D(E_F) in states/eV per atom: 1.21
# E_form in eV/f.u.: -3.01
data_Pr5Bi2Au
_cell_length_a 6.2231
_cell_length_b 12.4381
_cell_length_c 14.8750
_cell_angle_alpha 90.00
_cell_angle_beta 90.00
_cell_angle_gamma 90.00
_space_group_name_H-M_alt 'C m c m'
_space_group_IT_number 63
_space_group_name_Hall '-C 2c 2'
loop_
_atom_site_label
_atom_site_type_symbol
_atom_site_fract_x
_atom_site_fract_y
_atom_site_fract_z
Pr1 Pr 0.0000 0.0650 0.1095
Pr2 Pr 0.0000 0.3536 0.7500
Pr3 Pr 0.0000 0.3794 0.0725
Bi1 Bi 0.0000 0.1968 0.5865
Au1 Au 0.0000 0.2418 0.2500

# 2
# PBE-GGA Pr2BiAu, optimized geometry
# Crystal system: tetragonal
# D(E_F) in states/eV per atom: 1.15
# E_form in eV/f.u.: -2.90
data_Pr2BiAu
_cell_length_a 5.3320
_cell_length_b 5.3320
_cell_length_c 4.0896
_cell_angle_alpha 90.00
_cell_angle_beta 90.00
_cell_angle_gamma 90.00
_space_group_name_H-M_alt 'P 4/m m m'
_space_group_IT_number 123
_space_group_name_Hall '-P 4 2'
loop_
_atom_site_label
_atom_site_type_symbol
_atom_site_fract_x
_atom_site_fract_y
_atom_site_fract_z
Pr1 Pr 0.0000 0.5000 0.0000
Bi1 Bi 0.0000 0.0000 0.5000
Au1 Au 0.5000 0.5000 0.5000

# 3
# PBE-GGA PrSmBiAu, optimized geometry
# Crystal system: cubic
# D(E_F) in states/eV per atom: 1.25
# E_form in eV/f.u.: -2.77
data_PrSmBiAu
_cell_length_a 7.6742
_cell_length_b 7.6742
_cell_length_c 7.6742
_cell_angle_alpha 90.00
_cell_angle_beta 90.00
_cell_angle_gamma 90.00
_space_group_name_H-M_alt 'F -4 3 m'
_space_group_IT_number 216
_space_group_name_Hall 'F -4 2 3'
loop_
_atom_site_label
_atom_site_type_symbol
_atom_site_fract_x
_atom_site_fract_y
_atom_site_fract_z
Pr1 Pr 0.0000 0.0000 0.0000
Sm1 Sm 0.0000 0.0000 0.5000
Bi1 Bi 0.2500 0.2500 0.2500
Au1 Au 0.2500 0.2500 0.7500

# 4
# PBE-GGA SrPrBiAu, optimized geometry
# Crystal system: cubic
# D(E_F) in states/eV per atom: 1.01
# E_form in eV/f.u.: -2.83
data_SrPrBiAu
_cell_length_a 7.8777
_cell_length_b 7.8777
_cell_length_c 7.8777
_cell_angle_alpha 90.00
_cell_angle_beta 90.00
_cell_angle_gamma 90.00
_space_group_name_H-M_alt 'F -4 3 m'
_space_group_IT_number 216
_space_group_name_Hall 'F -4 2 3'
loop_
_atom_site_label
_atom_site_type_symbol
_atom_site_fract_x
_atom_site_fract_y
_atom_site_fract_z
Sr1 Sr 0.0000 0.0000 0.0000
Pr1 Pr 0.0000 0.0000 0.5000
Bi1 Bi 0.2500 0.2500 0.2500
Au1 Au 0.2500 0.2500 0.7500

# 5
# PBE-GGA Bi12Pt7Au, optimized geometry
# Crystal system: trigonal
# D(E_F) in states/eV per atom: 0.58
# E_form in eV/f.u.: -1.48
data_Bi12Pt7Au
_cell_length_a 12.9687
_cell_length_b 12.9687
_cell_length_c 11.1340
_cell_angle_alpha 90.00
_cell_angle_beta 90.00
_cell_angle_gamma 120.00
_space_group_name_H-M_alt 'R -3'
_space_group_IT_number 148
_space_group_name_Hall '-R 3'
loop_
_atom_site_label
_atom_site_type_symbol
_atom_site_fract_x
_atom_site_fract_y
_atom_site_fract_z
Bi1 Bi 0.0413 0.4467 0.1393
Bi2 Bi 0.0429 0.8489 0.8553
Pt1 Pt 0.0000 0.0000 0.0000
Pt2 Pt 0.0361 0.8849 0.3128
Au1 Au 0.0000 0.0000 0.5000

# 6
# PBE-GGA Bi6PtAu3, optimized geometry
# Crystal system: monoclinic
# D(E_F) in states/eV per atom: 0.43
# E_form in eV/f.u.: -0.74
data_Bi6PtAu3
_cell_length_a 7.5874
_cell_length_b 6.9624
_cell_length_c 12.1341
_cell_angle_alpha 90.00
_cell_angle_beta 122.40
_cell_angle_gamma 90.00
_space_group_name_H-M_alt 'P 1 21/c 1'
_space_group_IT_number 14
_space_group_name_Hall '-P 2ybc'
loop_
_atom_site_label
_atom_site_type_symbol
_atom_site_fract_x
_atom_site_fract_y
_atom_site_fract_z
Bi1 Bi 0.0590 0.0208 0.2497
Bi2 Bi 0.2209 0.1437 0.5913
Bi3 Bi 0.3905 0.6493 0.5811
Pt1 Pt 0.0000 0.0000 0.0000
Au1 Au 0.3504 0.6886 0.3005
Au2 Au 0.5000 0.0000 0.5000

# 7
# PBE-GGA Bi4PtAu, optimized geometry
# Crystal system: tetragonal
# D(E_F) in states/eV per atom: 0.67
# E_form in eV/f.u.: 0.45
data_Bi4PtAu
_cell_length_a 9.0995
_cell_length_b 9.0995
_cell_length_c 9.0286
_cell_angle_alpha 90.00
_cell_angle_beta 90.00
_cell_angle_gamma 90.00
_space_group_name_H-M_alt 'I 41 m d'
_space_group_IT_number 109
_space_group_name_Hall 'I 4bw -2'
loop_
_atom_site_label
_atom_site_type_symbol
_atom_site_fract_x
_atom_site_fract_y
_atom_site_fract_z
Bi1 Bi 0.0000 0.3017 0.0000
Bi2 Bi 0.0000 0.3078 0.4837
Pt1 Pt 0.0000 0.0000 0.9909
Au1 Au 0.0000 0.0000 0.4929

# 8
# PBE-GGA Bi4PtAu2, optimized geometry
# Crystal system: orthorhombic
# D(E_F) in states/eV per atom: 0.52
# E_form in eV/f.u.: -0.58
data_Bi4PtAu2
_cell_length_a 4.8345
_cell_length_b 16.1748
_cell_length_c 5.0632
_cell_angle_alpha 90.00
_cell_angle_beta 90.00
_cell_angle_gamma 90.00
_space_group_name_H-M_alt 'C m m m'
_space_group_IT_number 65
_space_group_name_Hall '-C 2 2'
loop_
_atom_site_label
_atom_site_type_symbol
_atom_site_fract_x
_atom_site_fract_y
_atom_site_fract_z
Bi1 Bi 0.0000 0.1043 0.0000
Bi2 Bi 0.0000 0.3952 0.5000
Pt1 Pt 0.0000 0.0000 0.5000
Au1 Au 0.0000 0.2931 0.0000